1.
DFT (PBE-GGA) results for a geometry-optimized GeI2BrN structure.

Cell: 6.3358 6.3358 3.7442 Å, 90.00 90.00 90.00°
With the nearest neighbours (Å) after each atom.
Fractional coordinates of all 5 atoms:
I 0.0000 0.5000 0.0000  2 Br 3.17
I 0.5000 0.0000 0.0000  2 Br 3.17
Ge 0.5000 0.5000 0.5000  8 I 3.68, 2 Ge 3.74
Br 0.0000 0.0000 0.0000  2 N 1.87
N 0.0000 0.0000 0.5000  2 Br 1.87

Output
The energy above the most stable polymorph in this dataset comes out at 3.18 eV/f.u. The formation energy from raw total energies comes out at 1.2638 eV per atom. The calculation puts the volume at 30.060 A^3/atom. The magnetization is 0.00 μB per formula unit. The value obtained for the total energy is -11.40 eV for the cell shown. The value obtained for the calculated density is 4.64 Mg/m³. As for the space-group type: P4/mmm, No. 123.

2.
DFT (PBE-GGA) results for a geometry-optimized SmZr2Zn3 structure.

Cell: 3.4429 3.4429 10.2670 Å, 90.00 90.00 90.00°
With the nearest neighbours (Å) after each atom.
Fractional coordinates of all 6 atoms:
Sm 0.5000 0.5000 0.5000  8 Zn 3.14, 4 Sm 3.44, 2 Zr 3.51
Zr 0.5000 0.5000 0.8423  8 Zn 2.87-2.92
Zr 0.5000 0.5000 0.1577  8 Zn 2.87-2.92
Zn 0.0000 0.0000 0.0000  8 Zr 2.92, 2 Zn 3.15
Zn 0.0000 0.0000 0.6933  4 Zr 2.87, 4 Sm 3.14, 1 Zn 3.15
Zn 0.0000 0.0000 0.3067  4 Zr 2.87, 4 Sm 3.14, 1 Zn 3.15

Output
The calculation puts the volume at 20.284 A^3/atom. The magnetization is 0.00 μB per formula unit. The value obtained for the formation energy is -263 meV/atom. The value obtained for the total energy is -27.22 eV for the cell shown. The value obtained for the calculated density is 7.22 Mg/m³. As for the space-group type: P4/mmm, No. 123.

3.
DFT (PBE-GGA) results for a geometry-optimized BaEr2S4 structure.

Cell: 4.0229 6.8603 13.6205 Å, 90.00 90.00 107.05°
With the nearest neighbours (Å) after each atom.
Fractional coordinates of all 14 atoms:
Ba 0.6104 0.2208 0.7500  6 S 3.08-3.22
Ba 0.3896 0.7792 0.2500  6 S 3.08-3.22
Er 0.1347 0.2694 0.4330  6 S 2.64-2.83
Er 0.8653 0.7306 0.9330  6 S 2.64-2.83
Er 0.1347 0.2694 0.0670  6 S 2.64-2.83
Er 0.8653 0.7306 0.5670  6 S 2.64-2.83
S 0.7661 0.5321 0.1089  3 Er 2.71-2.73
S 0.7661 0.5321 0.3911  3 Er 2.71-2.73
S 0.2339 0.4679 0.8911  3 Er 2.71-2.73
S 0.2339 0.4679 0.6089  3 Er 2.71-2.73
S 0.9327 0.8653 0.7500  2 Er 2.64
S 0.0673 0.1347 0.2500  2 Er 2.64
S 0.5000 0.0000 0.0000  4 Er 2.83
S 0.5000 0.0000 0.5000  4 Er 2.83

Output
The energy above the most stable polymorph in this dataset comes out at 0.20 eV/f.u. The formation energy from raw total energies comes out at -2.1156 eV per atom. The calculation puts the volume at 25.670 A^3/atom. The magnetization is 0.00 μB per formula unit. The value obtained for the total energy is -84.74 eV for the cell shown. The value obtained for the calculated density is 5.55 Mg/m³. As for the space-group type: Cmcm, No. 63.

4.
DFT (PBE-GGA) results for a geometry-optimized CaLa15Y4 structure.

Cell: 5.2440 5.2440 26.2622 Å, 90.00 90.00 90.00°
With the nearest neighbours (Å) after each atom.
Fractional coordinates of all 20 atoms:
Ca 0.0000 0.0000 0.0000  12 La 3.71-3.78
La 0.5000 0.5000 0.0000  4 Ca 3.71, 8 La 3.78
La 0.5000 0.5000 0.2012  8 La 3.67-3.71, 4 Y 3.71
La 0.5000 0.5000 0.4000  8 La 3.69-3.71, 4 Y 3.71
La 0.5000 0.5000 0.6000  8 La 3.69-3.71, 4 Y 3.71
La 0.5000 0.5000 0.7988  8 La 3.67-3.71, 4 Y 3.71
La 0.5000 0.0000 0.1035  8 La 3.67-3.78, 2 Y 3.67, 2 Ca 3.78
La 0.5000 0.0000 0.3011  8 La 3.69-3.71, 4 Y 3.70-3.71
La 0.5000 0.0000 0.5000  4 Y 3.70, 8 La 3.71
La 0.5000 0.0000 0.6989  8 La 3.69-3.71, 4 Y 3.70-3.71
La 0.5000 0.0000 0.8965  8 La 3.67-3.78, 2 Y 3.67, 2 Ca 3.78
La 0.0000 0.5000 0.1035  8 La 3.67-3.78, 2 Y 3.67, 2 Ca 3.78
La 0.0000 0.5000 0.3011  8 La 3.69-3.71, 4 Y 3.70-3.71
La 0.0000 0.5000 0.5000  4 Y 3.70, 8 La 3.71
La 0.0000 0.5000 0.6989  8 La 3.69-3.71, 4 Y 3.70-3.71
La 0.0000 0.5000 0.8965  8 La 3.67-3.78, 2 Y 3.67, 2 Ca 3.78
Y 0.0000 0.0000 0.2013  12 La 3.67-3.71
Y 0.0000 0.0000 0.4007  12 La 3.70-3.71
Y 0.0000 0.0000 0.5993  12 La 3.70-3.71
Y 0.0000 0.0000 0.7987  12 La 3.67-3.71

Output
The calculation puts the volume at 36.110 A^3/atom. The magnetization is 0.00 μB per formula unit. The value obtained for the formation energy is 15 meV/atom. The value obtained for the total energy is -101.46 eV for the cell shown. The value obtained for the calculated density is 5.70 Mg/m³. As for the space-group type: P4/mmm, No. 123.

5.
DFT (PBE-GGA) results for a geometry-optimized BeTc2Os structure.

Cell: 3.8672 2.7424 5.7315 Å, 61.36 90.00 90.00°
With the nearest neighbours (Å) after each atom.
Fractional coordinates of all 4 atoms:
Be 0.5000 0.2500 0.2500  2 Os 2.52, 8 Tc 2.64, 2 Be 2.74
Os 0.5000 0.7500 0.7500  2 Be 2.52, 8 Tc 2.72-2.73, 2 Os 2.74
Tc 0.0000 0.9835 0.0176  1 Tc 2.34
Tc 0.0000 0.5165 0.4824  1 Tc 2.34

Output
The calculation puts the volume at 13.337 A^3/atom. The magnetization is 0.00 μB per formula unit. The value obtained for the formation energy is -2 meV/atom. The value obtained for the total energy is -35.70 eV for the cell shown. The value obtained for the calculated density is 12.30 Mg/m³. As for the space-group type: Pmmm, No. 47.

6.
DFT (PBE-GGA) results for a geometry-optimized TeRhCl2 structure.

Cell: 10.7335 10.7335 10.7335 Å, 18.36 18.36 18.36°
With the nearest neighbours (Å) after each atom.
Fractional coordinates of all 4 atoms:
Te 0.0000 0.0000 0.0000  6 Te 3.42
Rh 0.5000 0.5000 0.5000  6 Cl 2.44
Cl 0.8785 0.8785 0.8785  3 Rh 2.44
Cl 0.1215 0.1215 0.1215  3 Rh 2.44

Output
The energy above the most stable polymorph in this dataset comes out at 1.55 eV/f.u. The formation energy from raw total energies comes out at -0.0238 eV per atom. The calculation puts the volume at 26.789 A^3/atom. The magnetization is 0.76 μB per formula unit. The value obtained for the total energy is -14.28 eV for the cell shown. The value obtained for the calculated density is 4.67 Mg/m³. As for the space-group type: R-3m, No. 166.

7.
DFT (PBE-GGA) results for a geometry-optimized Tb3NdTm4 structure.

Cell: 3.4463 6.6403 11.8431 Å, 106.42 98.37 90.00°
With the nearest neighbours (Å) after each atom.
Fractional coordinates of all 8 atoms:
Nd 0.5000 0.0000 0.0000  2 Nd 3.45, 4 Tm 3.69, 8 Tb 3.72-3.74
Tm 0.7397 0.2433 0.4794  9 Tm 3.44-3.81, 3 Tb 3.45-3.48
Tm 0.2603 0.7567 0.5206  9 Tm 3.44-3.81, 3 Tb 3.45-3.48
Tm 0.1268 0.3694 0.2536  3 Tb 3.25-3.39, 5 Tm 3.44-3.46
Tm 0.8732 0.6306 0.7464  3 Tb 3.25-3.39, 5 Tm 3.44-3.46
Tb 0.0000 0.5000 0.0000  4 Tb 3.30-3.45, 2 Tm 3.32
Tb 0.1269 0.8796 0.2538  5 Tm 3.25-3.48, 3 Tb 3.30-3.45
Tb 0.8731 0.1204 0.7462  5 Tm 3.25-3.48, 3 Tb 3.30-3.45

Output
The energy above the most stable polymorph in this dataset comes out at 1.31 eV/f.u. The calculation puts the volume at 32.119 A^3/atom. The magnetization is 0.00 μB per formula unit. The value obtained for the formation energy is 175 meV/atom. The value obtained for the total energy is -35.15 eV for the cell shown. The value obtained for the calculated density is 8.38 Mg/m³. As for the space-group type: C2/m, No. 12.

8.
DFT (PBE-GGA) results for a geometry-optimized Tb3Th2 structure.

Cell: 3.5769 3.5769 14.6562 Å, 82.99 82.99 60.00°
With the nearest neighbours (Å) after each atom.
Fractional coordinates of all 5 atoms:
Tb 0.0993 0.0993 0.7021  3 Th 3.56, 9 Tb 3.58-3.59
Tb 0.5000 0.5000 0.5000  12 Tb 3.58-3.59
Tb 0.9007 0.9007 0.2979  3 Th 3.56, 9 Tb 3.58-3.59
Th 0.3008 0.3008 0.0977  9 Th 3.51-3.58, 3 Tb 3.56
Th 0.6992 0.6992 0.9023  9 Th 3.51-3.58, 3 Tb 3.56

Output
The energy above the most stable polymorph in this dataset comes out at 0.00 eV/f.u. The calculation puts the volume at 32.154 A^3/atom. The magnetization is 0.00 μB per formula unit. The value obtained for the formation energy is 18 meV/atom. The value obtained for the total energy is -28.64 eV for the cell shown. The value obtained for the calculated density is 9.72 Mg/m³. As for the space-group type: R-3m, No. 166.

9.
DFT (PBE-GGA) results for a geometry-optimized Zn2BiPbAu structure.

Cell: 5.1581 5.5246 5.1581 Å, 90.00 90.00 90.00°
With the nearest neighbours (Å) after each atom.
Fractional coordinates of all 5 atoms:
Pb 0.0000 0.0000 0.0000  4 Zn 2.58, 2 Au 2.76
Zn 0.0000 0.0000 0.5000  2 Pb 2.58
Zn 0.5000 0.0000 0.0000  2 Pb 2.58
Au 0.0000 0.5000 0.0000  2 Pb 2.76
Bi 0.5000 0.5000 0.5000  4 Au 3.65, 8 Zn 3.78

Output
The calculation puts the volume at 29.398 A^3/atom. The magnetization is 0.00 μB per formula unit. The value obtained for the formation energy is 631 meV/atom. The value obtained for the total energy is -10.26 eV for the cell shown. The value obtained for the calculated density is 8.40 Mg/m³. As for the space-group type: P4/mmm, No. 123.

10.
DFT (PBE-GGA) results for a geometry-optimized PmSb structure.

Cell: 3.8783 3.8783 3.8783 Å, 90.00 90.00 90.00°
With the nearest neighbours (Å) after each atom.
Fractional coordinates of all 2 atoms:
Sb 0.5000 0.5000 0.5000  8 Pm 3.36
Pm 0.0000 0.0000 0.0000  8 Sb 3.36

Output
The energy above the most stable polymorph in this dataset comes out at 0.65 eV/f.u. The formation energy from raw total energies comes out at -0.8607 eV per atom. The calculation puts the volume at 29.167 A^3/atom. The magnetization is 0.00 μB per formula unit. The value obtained for the total energy is -10.59 eV for the cell shown. The value obtained for the calculated density is 7.59 Mg/m³. As for the space-group type: Pm-3m, No. 221.

11.
DFT (PBE-GGA) results for a geometry-optimized Ga2Cu3Pt structure.

Cell: 7.8883 7.8883 7.8188 Å, 120.29 120.29 90.00°
With the nearest neighbours (Å) after each atom.
Fractional coordinates of all 24 atoms:
Ga 0.9087 0.7231 0.8174  5 Cu 2.42-2.48, 2 Pt 2.53-2.69
Ga 0.3413 0.6557 0.6826  5 Cu 2.42-2.48, 2 Pt 2.53-2.69
Ga 0.2769 0.0913 0.1826  5 Cu 2.42-2.48, 2 Pt 2.53-2.69
Ga 0.3443 0.6587 0.3174  5 Cu 2.42-2.48, 2 Pt 2.53-2.69
Ga 0.9057 0.0913 0.1826  5 Cu 2.42-2.48, 2 Pt 2.53-2.69
Ga 0.9731 0.6587 0.3174  5 Cu 2.42-2.48, 2 Pt 2.53-2.69
Ga 0.3413 0.0269 0.6826  5 Cu 2.42-2.48, 2 Pt 2.53-2.69
Ga 0.9087 0.0943 0.8174  5 Cu 2.42-2.48, 2 Pt 2.53-2.69
Cu 0.3325 0.6675 0.0000  2 Ga 2.47, 2 Cu 2.64
Cu 0.1250 0.8750 0.2500  6 Ga 2.42-2.48
Cu 0.1250 0.3750 0.2500  6 Ga 2.42-2.48
Cu 0.6675 0.6675 0.0000  2 Ga 2.47, 2 Cu 2.64
Cu 0.6675 0.3325 0.0000  2 Ga 2.47, 2 Cu 2.64
Cu 0.9175 0.4175 0.5000  2 Ga 2.47, 2 Cu 2.64
Cu 0.6250 0.8750 0.7500  6 Ga 2.42-2.48
Cu 0.1250 0.8750 0.7500  6 Ga 2.42-2.48
Cu 0.5825 0.0825 0.5000  2 Ga 2.47, 2 Cu 2.64
Cu 0.5825 0.4175 0.5000  2 Ga 2.47, 2 Cu 2.64
Cu 0.3325 0.3325 0.0000  2 Ga 2.47, 2 Cu 2.64
Cu 0.9175 0.0825 0.5000  2 Ga 2.47, 2 Cu 2.64
Pt 0.2968 0.2968 0.5935  4 Ga 2.53-2.69, 2 Cu 2.73
Pt 0.7032 0.7032 0.4065  4 Ga 2.53-2.69, 2 Cu 2.73
Pt 0.5468 0.0468 0.0935  4 Ga 2.53-2.69, 2 Cu 2.73
Pt 0.9532 0.4532 0.9065  4 Ga 2.53-2.69, 2 Cu 2.73

Output
The calculation puts the volume at 14.206 A^3/atom. The magnetization is 0.00 μB per formula unit. The value obtained for the formation energy is -132 meV/atom. The value obtained for the total energy is -100.71 eV for the cell shown. The value obtained for the calculated density is 10.23 Mg/m³. As for the space-group type: I4_1/amd, No. 141.

12.
DFT (PBE-GGA) results for a geometry-optimized HgPBrF6 structure.

Cell: 8.3043 6.3863 4.6745 Å, 91.25 83.76 39.37°
With the nearest neighbours (Å) after each atom.
Fractional coordinates of all 9 atoms:
Hg 0.8758 0.4099 0.4953  3 F 2.48-2.66, 2 Br 2.58-2.60
P 0.3315 0.3327 0.5015  6 F 1.60-1.68
Br 0.8239 0.2920 0.0001  2 Hg 2.58-2.60
F 0.2282 0.2862 0.2498  1 P 1.68
F 0.4175 0.0236 0.6434  1 P 1.68
F 0.4285 0.3711 0.7507  1 P 1.60
F 0.0409 0.5976 0.7091  1 P 1.65
F 0.2372 0.6350 0.3594  1 P 1.62
F 0.6162 0.0521 0.2907  1 P 1.62

Output
The formation energy from raw total energies comes out at -2.0364 eV per atom. The calculation puts the volume at 17.121 A^3/atom. The magnetization is 0.00 μB per formula unit. The value obtained for the total energy is -36.94 eV for the cell shown. The value obtained for the calculated density is 4.58 Mg/m³. As for the space-group type: P1, No. 1.